A plane-wave DFT calculation with PBE+U was carried out for Na2FeHO after structural relaxation.

a = 5.5164 Å, b = 5.5164 Å, c = 3.5829 Å
α = 90.00°, β = 90.00°, γ = 90.00°
Positions (direct):
Na 0.0000 0.5000 0.0000
Na 0.5000 0.0000 0.0000
Fe 0.0000 0.0000 0.0000
H 0.5000 0.5000 0.5000
O 0.0000 0.0000 0.5000

Computed properties:
* total magnetization: 0.60 μB/atom
* symmetry: P4/mmm, No. 123
* total DFT energy (no corrections): -17.46 eV for the cell shown